(1)
HfTaNb2W | PBE | relaxed

Values from the calculation:
For the excess energy over the best structure of this formula in the dataset, the calculation gives 66.13 kJ/mol of atoms. The value obtained for the formation energy is 2.1504 eV per atom.

Geometry as CIF:
```
data_HfTaNb2W
_space_group_name_H-M_alt 'P 4/m m m'
_space_group_IT_number 123
_space_group_name_Hall '-P 4 2'
_cell_length_a 4.741
_cell_length_b 4.741
_cell_length_c 4.904
_cell_angle_alpha 90.00
_cell_angle_beta 90.00
_cell_angle_gamma 90.00
loop_
_atom_site_label
_atom_site_type_symbol
_atom_site_fract_x
_atom_site_fract_y
_atom_site_fract_z
Hf1 Hf 0.000 0.000 0.000
Ta1 Ta 0.000 0.000 0.500
Nb1 Nb 0.000 0.500 0.000
W1 W 0.500 0.500 0.500
```

---

(2)
SrSbH2 | PBE | relaxed

Values from the calculation:
For the excess energy over the best structure of this formula in the dataset, the calculation gives 2.55 kJ/mol of atoms.

Geometry as CIF:
```
data_SrSbH2
_space_group_name_H-M_alt 'C 1 2/c 1'
_space_group_IT_number 15
_cell_length_a 6.631
_cell_length_b 7.022
_cell_length_c 6.671
_cell_angle_alpha 90.00
_cell_angle_beta 115.19
_cell_angle_gamma 90.00
loop_
_space_group_symop_operation_xyz
'x,y,z'
'-x,-y,-z'
'-x,y,-z+1/2'
'x,-y,z+1/2'
'x+1/2,y+1/2,z'
'-x+1/2,-y+1/2,-z'
'-x+1/2,y+1/2,-z+1/2'
'x+1/2,-y+1/2,z+1/2'
loop_
_atom_site_label
_atom_site_type_symbol
_atom_site_fract_x
_atom_site_fract_y
_atom_site_fract_z
Sr1 Sr 0.000 0.068 0.250
Sb1 Sb 0.000 0.420 0.750
H1 H 0.231 0.196 0.590
```

---

(3)
NdAl4Tl | PBE | relaxed

Values from the calculation:
The value obtained for the formation energy is -0.1308 eV per atom.

Geometry as CIF:
```
data_NdAl4Tl
_space_group_name_H-M_alt 'F -4 3 m'
_space_group_IT_number 216
_space_group_name_Hall 'F -4 2 3'
_cell_length_a 8.044
_cell_length_b 8.044
_cell_length_c 8.044
_cell_angle_alpha 90.00
_cell_angle_beta 90.00
_cell_angle_gamma 90.00
loop_
_atom_site_label
_atom_site_type_symbol
_atom_site_fract_x
_atom_site_fract_y
_atom_site_fract_z
Nd1 Nd 0.000 0.000 0.000
Al1 Al 0.125 0.125 0.625
Tl1 Tl 0.250 0.250 0.250
```